An optimized crystal structure of BaSbAu. Source: the Alexandria database, functional PBE-GGA.

a b c (Å): 5.3974 5.8158 11.7401
angles (deg): 90.00 90.00 90.00
Last column: nearest neighbours and their distance in Å.
Space group Fmm2 (No. 42)
Unique sites:
Ba 0.0000 0.0000 0.0000 [4 per cell]  5 Sb 3.41-3.81, 5 Au 3.52-3.68
Sb 0.0000 0.0000 0.7096 [4 per cell]  4 Au 2.93-3.13
Au 0.0000 0.0000 0.3078 [4 per cell]  4 Sb 2.93-3.13

## Properties
* total moment: 0.000 μB/f.u.
* E_form (uncorrected): -132 kJ/mol of formula units